Computed, not measured: a PBEsol-optimized structure of Ta3Zn4 at the SCAN level of DFT.

abc: 2.8036 2.8036 27.2613
angles: 90.00 90.00 90.00
Closest atoms and distances in Å follow each position.
Space group I4/mmm (No. 139)
Inequivalent atoms, fractional coordinates:
Ta1 0.0000 0.0000 0.0000  8 Zn 2.79, 4 Ta 2.80
Ta2 0.0000 0.0000 0.2929  4 Zn 2.80, 8 Ta 2.80-3.07
Zn1 0.0000 0.0000 0.1348  8 Zn 2.62-2.80, 4 Ta 2.80
Zn2 0.0000 0.0000 0.4279  8 Zn 2.62-2.80, 4 Ta 2.79

Output
Volume in A^3/atom: 15.305
Formation enthalpy at 0 K in eV per atom: -0.05
Magnetic moment in μB/atom: 0.00